This record from OQMD via LeMat-Bulk describes a geometry-optimized LiZr2AgSe4 structure. The functional is PBE.

Properties
total energy: -84.4 eV per cell
magnetization: 1.77 μB/f.u.

Unit cell a=6.1525 b=6.1525 c=11.6451 alpha=90.00 beta=90.00 gamma=90.00
With the nearest neighbours (Å) after each atom.
Space group I-4 (No. 82)
Symmetry-distinct sites (fractional):
Li  0.0000  0.0000  0.0000 x2  4 Se 2.57
Zr  0.0000  0.0000  0.5000 x2  4 Se 2.62
Zr  0.0000  0.5000  0.2500 x2  4 Se 2.61
Ag  0.0000  0.5000  0.7500 x2  4 Se 2.67
Se  0.2428  0.2505  0.1213 x8  1 Li 2.57, 2 Zr 2.61-2.62, 1 Ag 2.67

This record from OQMD via LeMat-Bulk describes a geometry-optimized LuAlBiTe3 structure. The functional is PBE.

Properties
total energy: -99.7 eV per cell
magnetization: 0.02 μB/f.u.

Unit cell a=4.0872 b=15.3957 c=11.9508 alpha=90.00 beta=90.00 gamma=90.00
With the nearest neighbours (Å) after each atom.
Space group Cmcm (No. 63)
Symmetry-distinct sites (fractional):
Lu  0.0000  0.0000  0.0000 x4  6 Te 3.00-3.03
Al  0.0000  0.3400  0.2500 x4  4 Te 2.83-2.98, 2 Bi 3.06
Bi  0.0000  0.3081  0.7500 x4  2 Al 3.06, 2 Te 3.11
Te  0.0000  0.0332  0.7500 x4  2 Al 2.83, 2 Lu 3.03
Te  0.0000  0.3572  0.0020 x8  1 Al 2.98, 2 Lu 3.00, 1 Bi 3.11